The following is a PBE-GGA calculation of an optimized crystal structure of Sm3I7N, from the Alexandria database.

The volume comes out at 45.9 A^3/atom. The value obtained for the formation energy without anion corrections is -1236 meV per atom.

The structure belongs to space group P3m1 (No. 156); the cell edges are 8.4656, 8.4656 and 8.1401 Å and the angles 90.00°, 90.00° and 120.00°. Symmetry generates all atoms from Sm at (0.0407, 0.5203, 0.0000), I at (0.1598, 0.3195, 0.7485), I at (0.3309, 0.1655, 0.2205), I at (0.6667, 0.3333, 0.7694) and N at (0.3333, 0.6667, 0.0627).